LaMn2Ru: optimized geometry, GGA-PBE.

Structure (CIF):
```
data_LaMn2Ru
_cell_length_a 4.1464
_cell_length_b 4.1464
_cell_length_c 16.0585
_cell_angle_alpha 90.00
_cell_angle_beta 90.00
_cell_angle_gamma 120.00
_symmetry_space_group_name_H-M 'R 3 m'
_symmetry_Int_Tables_number 160
_symmetry_space_group_name_Hall 'R 3 -2"'
loop_
_atom_site_label
_atom_site_fract_x
_atom_site_fract_y
_atom_site_fract_z
La1 0.0000 0.0000 0.0000
Mn1 0.0000 0.0000 0.1898
Mn2 0.0000 0.0000 0.5119
Ru1 0.0000 0.0000 0.7857
```

Results
M_tot	0.3	μB per formula unit
energy relative to the elements	110	meV per atom
total DFT energy (no corrections)	-8.03	eV/atom
density of states at the Fermi level	12.2	states/eV/cell